## Tm8Tc2Ag (GGA-PBE)

Data for a relaxed Tm8Tc2Ag crystal.

Computed properties:
ΔE_f: -0.092 eV per atom

Cell lengths 8.5805, 12.6525, 5.5382 Å; angles 90.00, 105.88, 90.00 degrees
Closest atoms and distances in Å follow each position.
Space group Cm (No. 8)
Inequivalent atoms, fractional coordinates:
Tm 0.0000 0.0000 0.0000 (multiplicity 2)  2 Tc 2.91, 1 Ag 3.15
Tm 0.0823 0.3678 0.7847 (multiplicity 4)  2 Tc 2.83
Tm 0.1818 0.1320 0.6087 (multiplicity 4)  2 Tc 2.83
Tm 0.2617 0.5000 0.3923 (multiplicity 2)  2 Tc 2.91, 1 Ag 3.15
Tm 0.3820 0.2364 0.1965 (multiplicity 4)  2 Tc 2.94, 1 Ag 2.99
Tc 0.3819 0.3138 0.6962 (multiplicity 4)  8 Tm 2.83-2.94
Ag 0.3804 0.0000 0.2137 (multiplicity 2)  4 Tm 2.99-3.15